1.
# Ce3Zn2Tc | Alexandria | PBE | relaxed
# **V**: 135.7 Å³/cell
# **Total energy**: -5.259 eV per atom
# **E_form**: -0.14 eV per atom
data_Ce3Zn2Tc
_chemical_formula_sum 'Ce3 Zn2 Tc1'
_symmetry_space_group_name_H-M 'P 4/m m m'
_symmetry_Int_Tables_number 123
_symmetry_space_group_name_Hall '-P 4 2'
_cell_length_a 3.468
_cell_length_b 3.468
_cell_length_c 11.285
_cell_angle_alpha 90.00
_cell_angle_beta 90.00
_cell_angle_gamma 90.00
loop_
_atom_site_label
_atom_site_type_symbol
_atom_site_fract_x
_atom_site_fract_y
_atom_site_fract_z
Ce1 Ce 0.000 0.000 0.000
Ce2 Ce 0.000 0.000 0.350
Zn1 Zn 0.500 0.500 0.170
Tc1 Tc 0.500 0.500 0.500

2.
# Ce12ZnTc6 | Alexandria | PBE | relaxed
# **V**: 1313.9 Å³/cell
# **Total energy**: -7.066 eV per atom
# **E_form**: 0.02 eV per atom
data_Ce12ZnTc6
_chemical_formula_sum 'Ce36 Zn3 Tc18'
_symmetry_space_group_name_H-M 'R -3'
_symmetry_Int_Tables_number 148
_symmetry_space_group_name_Hall '-R 3'
_cell_length_a 13.0710
_cell_length_b 13.0710
_cell_length_c 8.8802
_cell_angle_alpha 90.00
_cell_angle_beta 90.00
_cell_angle_gamma 120.00
loop_
_atom_site_label
_atom_site_type_symbol
_atom_site_fract_x
_atom_site_fract_y
_atom_site_fract_z
Ce1 Ce 0.0497 0.2704 0.4421
Ce2 Ce 0.0589 0.1866 0.7857
Zn1 Zn 0.0000 0.0000 0.5000
Tc1 Tc 0.0294 0.2260 0.0856

3.
# Ce2ZnTc | Alexandria | PBE | relaxed
# **V**: 186.6 Å³/cell
# **Total energy**: -5.961 eV per atom
# **E_form**: -0.08 eV per atom
data_Ce2ZnTc
_chemical_formula_sum 'Ce4 Zn2 Tc2'
_symmetry_space_group_name_H-M 'P -1'
_symmetry_Int_Tables_number 2
_cell_length_a 4.384
_cell_length_b 5.795
_cell_length_c 7.661
_cell_angle_alpha 97.59
_cell_angle_beta 99.13
_cell_angle_gamma 100.09
loop_
_symmetry_equiv_pos_as_xyz
'x,y,z'
'-x,-y,-z'
loop_
_atom_site_label
_atom_site_type_symbol
_atom_site_fract_x
_atom_site_fract_y
_atom_site_fract_z
Ce1 Ce 0.019 0.470 0.284
Ce2 Ce 0.396 0.989 0.166
Zn1 Zn 0.000 0.000 0.500
Zn2 Zn 0.500 0.500 0.000
Tc1 Tc 0.432 0.726 0.495

4.
# CeZn11Tc | Alexandria | PBE | relaxed
# **V**: 421.2 Å³/cell
# **Total energy**: -2.452 eV per atom
# **E_form**: -0.12 eV per atom
data_CeZn11Tc
_chemical_formula_sum 'Ce2 Zn22 Tc2'
_symmetry_space_group_name_H-M 'C 1 2/m 1'
_symmetry_Int_Tables_number 12
_cell_length_a 5.169
_cell_length_b 13.129
_cell_length_c 6.681
_cell_angle_alpha 90.00
_cell_angle_beta 111.71
_cell_angle_gamma 90.00
loop_
_symmetry_equiv_pos_as_xyz
'x,y,z'
'-x,-y,-z'
'-x,y,-z'
'x,-y,z'
'x+1/2,y+1/2,z'
'-x+1/2,-y+1/2,-z'
'-x+1/2,y+1/2,-z'
'x+1/2,-y+1/2,z'
loop_
_atom_site_label
_atom_site_type_symbol
_atom_site_fract_x
_atom_site_fract_y
_atom_site_fract_z
Ce1 Ce 0.000 0.000 0.000
Zn1 Zn 0.000 0.500 0.500
Zn2 Zn 0.113 0.387 0.222
Zn3 Zn 0.159 0.173 0.360
Zn4 Zn 0.250 0.250 0.000
Tc1 Tc 0.000 0.000 0.500

5.
# CeZrTc | Alexandria | PBE | relaxed
# **V**: 125.3 Å³/cell
# **Total energy**: -8.174 eV per atom
# **E_form**: 0.11 eV per atom
# **Excess energy over the best structure of this formula in the dataset**: 0.202 eV/atom
data_CeZrTc
_chemical_formula_sum 'Ce2 Zr2 Tc2'
_symmetry_space_group_name_H-M 'P 4/n m m'
_symmetry_Int_Tables_number 129
_cell_length_a 3.925
_cell_length_b 3.925
_cell_length_c 8.137
_cell_angle_alpha 90.00
_cell_angle_beta 90.00
_cell_angle_gamma 90.00
loop_
_symmetry_equiv_pos_as_xyz
'x,y,z'
'-x,-y,-z'
'-y+1/2,x,z'
'y+1/2,-x,-z'
'-x+1/2,-y+1/2,z'
'x+1/2,y+1/2,-z'
'y,-x+1/2,z'
'-y,x+1/2,-z'
'x+1/2,-y,-z'
'-x+1/2,y,z'
'-y,-x,-z'
'y,x,z'
'-x,y+1/2,-z'
'x,-y+1/2,z'
'y+1/2,x+1/2,-z'
'-y+1/2,-x+1/2,z'
loop_
_atom_site_label
_atom_site_type_symbol
_atom_site_fract_x
_atom_site_fract_y
_atom_site_fract_z
Ce1 Ce 0.250 0.750 0.000
Zr1 Zr 0.250 0.250 0.371
Tc1 Tc 0.250 0.250 0.710

6.
# CeZrTc | Alexandria | PBE | relaxed
# **V**: 126.8 Å³/cell
# **Total energy**: -8.375 eV per atom
# **E_form**: -0.09 eV per atom
# **Excess energy over the best structure of this formula in the dataset**: 0.000 eV/atom
data_CeZrTc
_chemical_formula_sum 'Ce2 Zr2 Tc2'
_symmetry_space_group_name_H-M 'I 4 m m'
_symmetry_Int_Tables_number 107
_symmetry_space_group_name_Hall 'I 4 -2'
_cell_length_a 3.374
_cell_length_b 3.374
_cell_length_c 11.140
_cell_angle_alpha 90.00
_cell_angle_beta 90.00
_cell_angle_gamma 90.00
loop_
_atom_site_label
_atom_site_type_symbol
_atom_site_fract_x
_atom_site_fract_y
_atom_site_fract_z
Ce1 Ce 0.000 0.000 0.000
Zr1 Zr 0.000 0.000 0.296
Tc1 Tc 0.000 0.000 0.653

7.
# CeZr2Tc | Alexandria | PBE | relaxed
# **V**: 87.6 Å³/cell
# **Total energy**: -8.492 eV per atom
# **E_form**: -0.14 eV per atom
data_CeZr2Tc
_chemical_formula_sum 'Ce1 Zr2 Tc1'
_symmetry_space_group_name_H-M 'P 4/m m m'
_symmetry_Int_Tables_number 123
_symmetry_space_group_name_Hall '-P 4 2'
_cell_length_a 3.301
_cell_length_b 3.301
_cell_length_c 8.040
_cell_angle_alpha 90.00
_cell_angle_beta 90.00
_cell_angle_gamma 90.00
loop_
_atom_site_label
_atom_site_type_symbol
_atom_site_fract_x
_atom_site_fract_y
_atom_site_fract_z
Ce1 Ce 0.000 0.000 0.000
Zr1 Zr 0.500 0.500 0.302
Tc1 Tc 0.000 0.000 0.500

8.
# CeZr5Tc4 | Alexandria | PBE | relaxed
# **V**: 193.9 Å³/cell
# **Total energy**: -9.285 eV per atom
# **E_form**: -0.27 eV per atom
data_CeZr5Tc4
_chemical_formula_sum 'Ce1 Zr5 Tc4'
_symmetry_space_group_name_H-M 'P 4/m m m'
_symmetry_Int_Tables_number 123
_symmetry_space_group_name_Hall '-P 4 2'
_cell_length_a 3.304
_cell_length_b 3.304
_cell_length_c 17.765
_cell_angle_alpha 90.00
_cell_angle_beta 90.00
_cell_angle_gamma 90.00
loop_
_atom_site_label
_atom_site_type_symbol
_atom_site_fract_x
_atom_site_fract_y
_atom_site_fract_z
Ce1 Ce 0.000 0.000 0.000
Zr1 Zr 0.500 0.500 0.133
Zr2 Zr 0.500 0.500 0.315
Zr3 Zr 0.500 0.500 0.500
Tc1 Tc 0.000 0.000 0.220
Tc2 Tc 0.000 0.000 0.407

- Number 7 is which compound?
  CeZr2Tc

- What is the formula in the third record?
  Ce2ZnTc